Compound: NpTl5S4
Source: Alexandria via LeMat-Bulk
Functional: PBE-GGA
Structure: relaxed Values from VASP.

```
&SYSTEM
  ibrav = 0, nat = 10, ntyp = 3
/
ATOMIC_SPECIES
Tl 204.38 Tl.upf
S 32.06 S.upf
Np 237.00 Np.upf
CELL_PARAMETERS angstrom
4.017 0.000 -0.878
-0.417 8.210 -1.906
-0.036 -0.664 9.457
ATOMIC_POSITIONS angstrom
Tl 3.279 1.173 5.373
Tl 0.583 2.339 2.664
Tl 1.800 4.105 -1.392
Tl 0.284 6.374 1.299
Tl 2.981 5.207 4.008
S 0.966 7.338 4.419
S 2.597 0.209 2.253
S 3.591 5.727 6.800
S -0.028 1.820 -0.128
Np 2.008 0.000 -0.439
```

Properties
space-group type: C2/m (12)
energy relative to the elements, uncorrected: -59 kJ per mole of atoms
spin magnetization: 3.70 μB per cell